Sm3Si6Pt20: optimized geometry, PBE.

The structure in POSCAR format:
```
Sm3Si6Pt20
1.0
7.6083 0.0000 4.3927
2.5361 7.1732 4.3927
0.0000 0.0000 8.7854
Sm Si Pt
3 6 20
Direct
0.7500 0.7500 0.7500 Sm
0.2500 0.2500 0.2500 Sm
0.0000 0.0000 0.0000 Sm
0.2666 0.7334 0.7334 Si
0.7334 0.2666 0.2666 Si
0.2666 0.2666 0.7334 Si
0.7334 0.2666 0.7334 Si
0.2666 0.7334 0.2666 Si
0.7334 0.7334 0.2666 Si
0.3848 0.3848 0.8455 Pt
0.1545 0.6152 0.6152 Pt
0.6537 0.0000 0.0000 Pt
0.6537 0.3463 0.0000 Pt
0.0000 0.0000 0.6537 Pt
0.3848 0.8455 0.3848 Pt
0.0000 0.3463 0.6537 Pt
0.6537 0.0000 0.3463 Pt
0.0000 0.6537 0.0000 Pt
0.0000 0.0000 0.3463 Pt
0.3463 0.0000 0.6537 Pt
0.0000 0.3463 0.0000 Pt
0.3463 0.6537 0.0000 Pt
0.3463 0.0000 0.0000 Pt
0.3848 0.3848 0.3848 Pt
0.6152 0.6152 0.1545 Pt
0.6152 0.6152 0.6152 Pt
0.6152 0.1545 0.6152 Pt
0.8455 0.3848 0.3848 Pt
0.0000 0.6537 0.3463 Pt
```

Results
- E_tot (eV/atom) = -6.5748
- spin magnetization (Bohr magnetons per cell) = 0.000

SmSiPt: optimized geometry, PBE.

The structure in POSCAR format:
```
SmSiPt
1.0
-4.4191 4.4410 -4.6578
-7.6398 1.4301 -0.7303
6.2659 -0.6969 4.6042
Sm Si Pt
2 2 2
Direct
0.7524 0.2524 0.5000 Sm
0.0024 0.0024 0.0000 Sm
0.3324 0.8324 0.5000 Si
0.5824 0.5824 0.0000 Si
0.1652 0.6652 0.5000 Pt
0.4152 0.4152 0.0000 Pt
```

Results
- E_tot (eV/atom) = -6.5532
- spin magnetization (Bohr magnetons per cell) = 0.000

Sm2Si3Pt5: optimized geometry, PBE.

The structure in POSCAR format:
```
Sm2Si3Pt5
1.0
4.0778 0.0000 -0.6946
0.0000 7.2606 0.0000
0.0184 0.0000 12.4245
Sm Si Pt
4 6 10
Direct
0.4587 0.6309 0.9175 Sm
0.1671 0.8720 0.3342 Sm
0.8329 0.3720 0.6658 Sm
0.5413 0.1309 0.0825 Sm
0.7633 0.8854 0.5266 Si
0.6240 0.4348 0.2480 Si
0.0385 0.8062 0.0770 Si
0.2367 0.3854 0.4734 Si
0.9615 0.3062 0.9230 Si
0.3760 0.9348 0.7520 Si
0.4151 0.2338 0.8303 Pt
0.2873 0.6773 0.5746 Pt
0.7127 0.1773 0.4254 Pt
0.1399 0.2714 0.2799 Pt
0.2874 0.0830 0.5748 Pt
0.9557 0.9700 0.9114 Pt
0.7126 0.5830 0.4252 Pt
0.8601 0.7714 0.7201 Pt
0.0443 0.4700 0.0886 Pt
0.5849 0.7338 0.1697 Pt
```

Results
- E_tot (eV/atom) = -6.6147
- spin magnetization (Bohr magnetons per cell) = 0.000

Sm2Si3SnPt4: optimized geometry, PBE.

The structure in POSCAR format:
```
Sm2Si3SnPt4
1.0
4.3030 0.0000 0.0000
0.0000 4.3030 0.0000
0.0000 0.0000 10.2275
Sm Si Sn Pt
2 3 1 4
Direct
0.5000 0.0000 0.2390 Sm
0.0000 0.5000 0.7610 Sm
0.0000 0.0000 0.5000 Si
0.5000 0.0000 0.8770 Si
0.0000 0.5000 0.1230 Si
0.5000 0.5000 0.5000 Sn
0.5000 0.5000 0.0000 Pt
0.0000 0.0000 0.0000 Pt
0.5000 0.0000 0.6451 Pt
0.0000 0.5000 0.3549 Pt
```

Results
- E_tot (eV/atom) = -6.3878
- spin magnetization (Bohr magnetons per cell) = 0.000